## a
Material: Y3HoSc
Method: DFT, PBE
State: relaxed

abc: 3.495 17.264 10.485
angles: 90.00 90.00 90.00
Space group Pbcm (No. 57)
Symmetry-distinct sites (fractional):
1 Y 0.246 0.250 0.000 (multiplicity 4)
2 Y 0.252 0.577 0.061 (multiplicity 8)
3 Ho 0.245 0.103 0.750 (multiplicity 4)
4 Sc 0.256 0.728 0.250 (multiplicity 4)

=====

## b
Material: Y3HoSc
Method: DFT, PBE
State: relaxed

abc: 8.601 6.410 11.704
angles: 90.00 107.48 90.00
Space group P2_1/c (No. 14)
Symmetry-distinct sites (fractional):
1 Y 0.078 0.078 0.277 (multiplicity 4)
2 Y 0.200 0.552 0.505 (multiplicity 4)
3 Y 0.414 0.719 0.311 (multiplicity 4)
4 Ho 0.203 0.062 0.590 (multiplicity 4)
5 Sc 0.439 0.208 0.409 (multiplicity 4)

=====

Most stable pick: b. Distance to second place: 46 meV/atom.

=====

## a
Material: Y2Ho3Sc
Method: DFT, PBE
State: relaxed

abc: 17.126 6.436 6.736
angles: 90.00 93.73 90.00
Space group C2/c (No. 15)
Symmetry-distinct sites (fractional):
1 Y 0.183 0.065 0.187 (multiplicity 8)
2 Ho 0.000 0.178 0.750 (multiplicity 4)
3 Ho 0.143 0.461 0.518 (multiplicity 8)
4 Sc 0.000 0.315 0.250 (multiplicity 4)

=====

## b
Material: Y2Ho3Sc
Method: DFT, PBE
State: relaxed

abc: 6.0896 6.0896 33.9178
angles: 90.00 90.00 120.00
Space group R-3c (No. 167, hexagonal axes)
Symmetry-distinct sites (fractional):
1 Y 0.0000 0.0000 0.1671 (multiplicity 12)
2 Ho 0.0000 0.3386 0.2500 (multiplicity 18)
3 Sc 0.0000 0.0000 0.0000 (multiplicity 6)

=====

Most stable pick: b. Distance to second place: 101 meV/atom.

=====

## a
Material: Y2Ho5Sc
Method: DFT, PBE
State: relaxed

abc: 7.009 14.028 4.944
angles: 90.00 90.00 90.00
Space group Pbam (No. 55)
Symmetry-distinct sites (fractional):
1 Y 0.248 0.123 0.000 (multiplicity 4)
2 Ho 0.000 0.500 0.500 (multiplicity 2)
3 Ho 0.001 0.752 0.500 (multiplicity 4)
4 Ho 0.249 0.876 0.000 (multiplicity 4)
5 Sc 0.000 0.000 0.500 (multiplicity 2)

=====

## b
Material: Y2Ho5Sc
Method: DFT, PBE
State: relaxed

abc: 7.151 11.133 12.395
angles: 90.00 90.00 90.00
Space group Fmm2 (No. 42)
Symmetry-distinct sites (fractional):
1 Y 0.000 0.246 0.000 (multiplicity 8)
2 Ho 0.000 0.000 0.335 (multiplicity 4)
3 Ho 0.247 0.000 0.585 (multiplicity 8)
4 Ho 0.250 0.250 0.252 (multiplicity 8)
5 Sc 0.000 0.000 0.834 (multiplicity 4)

=====

Most stable pick: b. Distance to second place: 19 meV/atom.